Dy3Ni2Ir7: relaxed, PBE-GGA.

Results
calculated density: 15.80 Mg/m³
formation energy: -0.628 eV per atom

Cell lengths 5.287, 5.287, 9.001 Å; angles 72.92, 72.92, 60.00 degrees
Sites, in units of the cell vectors:
Dy  0.860  0.860  0.421
Ir  0.581  0.581  0.760
Ir  0.078  0.581  0.760
Dy  0.000  0.000  0.000
Ir  0.500  0.500  0.500
Ni  0.667  0.667  0.000
Ir  0.419  0.419  0.240
Ni  0.333  0.333  0.000
Ir  0.419  0.922  0.240
Ir  0.922  0.419  0.240
Dy  0.140  0.140  0.579
Ir  0.581  0.078  0.760

Dy2Ni3Ir: relaxed, PBE-GGA.

Results
calculated density: 11.96 Mg/m³
formation energy: -0.574 eV per atom

Cell lengths 5.072, 5.072, 5.220 Å; angles 90.00, 119.08, 119.98 degrees
Sites, in units of the cell vectors:
Dy  0.753  0.377  0.130
Ni  0.500  0.500  0.500
Ni  0.000  0.000  0.500
Ir  0.000  0.000  0.000
Ni  0.500  0.000  0.500
Dy  0.247  0.623  0.870

DyNi4Ir: relaxed, PBE-GGA.

Results
calculated density: 11.97 Mg/m³
relative energy among the computed polymorphs: 0 meV per atom
formation energy: -0.242 eV per atom

Cell lengths 4.872, 4.872, 4.872 Å; angles 60.00, 60.00, 60.00 degrees
Site moments in Bohr magnetons follow the coordinates.
Sites, in units of the cell vectors:
Dy  0.000  0.000  0.000  -0.10
Ir  0.250  0.250  0.250  0.31
Ni  0.129  0.624  0.624  0.47
Ni  0.624  0.624  0.624  0.47
Ni  0.624  0.129  0.624  0.47
Ni  0.624  0.624  0.129  0.47